Record 1
# LaTb7Sc2 PBE optimized geometry
data_LaTb7Sc2
_chemical_formula_sum 'La2 Tb14 Sc4'
_space_group_name_H-M_alt 'C m m m'
_space_group_IT_number 65
_space_group_name_Hall '-C 2 2'
_cell_length_a 8.8351
_cell_length_b 15.1605
_cell_length_c 5.6252
_cell_angle_alpha 90.00
_cell_angle_beta 90.00
_cell_angle_gamma 90.00
loop_
_atom_site_label
_atom_site_type_symbol
_atom_site_fract_x
_atom_site_fract_y
_atom_site_fract_z
La1 La 0.0000 0.0000 0.0000
Tb1 Tb 0.0000 0.2460 0.0000
Tb2 Tb 0.0000 0.5000 0.5000
Tb3 Tb 0.1818 0.1231 0.5000
Sc1 Sc 0.0000 0.2970 0.5000
# ΔE to the lowest computed polymorph: 594 meV per atom
# Total magnetization: 0.00 μB per formula unit
# Calculated formation energy: 0.638 eV per atom
# D(E_F): 28.9 states/eV/cell

---

Record 2
# La4Tb5Sc PBE optimized geometry
data_La4Tb5Sc
_chemical_formula_sum 'La8 Tb10 Sc2'
_space_group_name_H-M_alt 'C 1 2/m 1'
_space_group_IT_number 12
_space_group_name_Hall '-C 2y'
_cell_length_a 17.1422
_cell_length_b 3.5381
_cell_length_c 11.3022
_cell_angle_alpha 90.00
_cell_angle_beta 92.40
_cell_angle_gamma 90.00
loop_
_atom_site_label
_atom_site_type_symbol
_atom_site_fract_x
_atom_site_fract_y
_atom_site_fract_z
La1 La 0.0260 0.0000 0.2419
La2 La 0.1673 0.5000 0.7455
Tb1 Tb 0.0000 0.5000 0.5000
Tb2 Tb 0.1676 0.0000 0.0421
Tb3 Tb 0.1722 0.0000 0.4435
Sc1 Sc 0.0000 0.5000 0.0000
# Total magnetization: 0.00 μB per formula unit
# Calculated formation energy: 0.185 eV per atom
# D(E_F): 30.8 states/eV/cell

---

Record 3
# LaTbSc PBE optimized geometry
data_LaTbSc
_chemical_formula_sum 'La2 Tb2 Sc2'
_space_group_name_H-M_alt 'P -3 m 1'
_space_group_IT_number 164
_space_group_name_Hall '-P 3 2"'
_cell_length_a 3.4887
_cell_length_b 3.4887
_cell_length_c 17.7187
_cell_angle_alpha 90.00
_cell_angle_beta 90.00
_cell_angle_gamma 120.00
loop_
_atom_site_label
_atom_site_type_symbol
_atom_site_fract_x
_atom_site_fract_y
_atom_site_fract_z
La1 La 0.3333 0.6667 0.0936
Tb1 Tb 0.0000 0.0000 0.4029
Sc1 Sc 0.3333 0.6667 0.7468
# ΔE to the lowest computed polymorph: 47 meV per atom
# Total magnetization: 0.00 μB per formula unit
# Calculated formation energy: 0.111 eV per atom
# D(E_F): 9.6 states/eV/cell

---

Record 4
# LaTb7Sc2 PBE optimized geometry
data_LaTb7Sc2
_chemical_formula_sum 'La1 Tb7 Sc2'
_space_group_name_H-M_alt 'P -1'
_space_group_IT_number 2
_space_group_name_Hall '-P 1'
_cell_length_a 6.0765
_cell_length_b 6.1069
_cell_length_c 9.3151
_cell_angle_alpha 71.10
_cell_angle_beta 71.04
_cell_angle_gamma 80.57
loop_
_atom_site_label
_atom_site_type_symbol
_atom_site_fract_x
_atom_site_fract_y
_atom_site_fract_z
La1 La 0.0000 0.0000 0.0000
Tb1 Tb 0.1041 0.4970 0.3000
Tb2 Tb 0.2008 0.0006 0.5988
Tb3 Tb 0.3050 0.4952 0.8995
Tb4 Tb 0.5000 0.5000 0.5000
Sc1 Sc 0.4014 0.0006 0.2003
# ΔE to the lowest computed polymorph: 0 meV per atom
# Total magnetization: 0.00 μB per formula unit
# Calculated formation energy: 0.044 eV per atom
# D(E_F): 15.2 states/eV/cell

---

Record 5
# LaTb2Sc PBE optimized geometry
data_LaTb2Sc
_chemical_formula_sum 'La3 Tb6 Sc3'
_space_group_name_H-M_alt 'R 3 m'
_space_group_IT_number 160
_space_group_name_Hall 'R 3 -2"'
_cell_length_a 3.5523
_cell_length_b 3.5523
_cell_length_c 34.1963
_cell_angle_alpha 90.00
_cell_angle_beta 90.00
_cell_angle_gamma 120.00
loop_
_atom_site_label
_atom_site_type_symbol
_atom_site_fract_x
_atom_site_fract_y
_atom_site_fract_z
La1 La 0.0000 0.0000 0.0000
Tb1 Tb 0.0000 0.0000 0.4213
Tb2 Tb 0.0000 0.0000 0.5779
Sc1 Sc 0.0000 0.0000 0.1658
# ΔE to the lowest computed polymorph: 0 meV per atom
# Total magnetization: 0.00 μB per formula unit
# Calculated formation energy: 0.036 eV per atom
# D(E_F): 19.5 states/eV/cell

---

Record 6
# LaTbSc2 PBE optimized geometry
data_LaTbSc2
_chemical_formula_sum 'La4 Tb4 Sc8'
_space_group_name_H-M_alt 'F m -3 m'
_space_group_IT_number 225
_space_group_name_Hall '-F 4 2 3'
_cell_length_a 7.7778
_cell_length_b 7.7778
_cell_length_c 7.7778
_cell_angle_alpha 90.00
_cell_angle_beta 90.00
_cell_angle_gamma 90.00
loop_
_atom_site_label
_atom_site_type_symbol
_atom_site_fract_x
_atom_site_fract_y
_atom_site_fract_z
La1 La 0.0000 0.0000 0.0000
Tb1 Tb 0.0000 0.0000 0.5000
Sc1 Sc 0.2500 0.2500 0.2500
# ΔE to the lowest computed polymorph: 12 meV per atom
# Total magnetization: 0.00 μB per formula unit
# Calculated formation energy: 0.074 eV per atom
# D(E_F): 23.8 states/eV/cell

---

Record 7
# LaTbSc2 PBE optimized geometry
data_LaTbSc2
_chemical_formula_sum 'La3 Tb3 Sc6'
_space_group_name_H-M_alt 'R 3 m'
_space_group_IT_number 160
_space_group_name_Hall 'R 3 -2"'
_cell_length_a 3.4876
_cell_length_b 3.4876
_cell_length_c 33.0704
_cell_angle_alpha 90.00
_cell_angle_beta 90.00
_cell_angle_gamma 120.00
loop_
_atom_site_label
_atom_site_type_symbol
_atom_site_fract_x
_atom_site_fract_y
_atom_site_fract_z
La1 La 0.0000 0.0000 0.0000
Tb1 Tb 0.0000 0.0000 0.8336
Sc1 Sc 0.0000 0.0000 0.4181
Sc2 Sc 0.0000 0.0000 0.5822
# ΔE to the lowest computed polymorph: 7 meV per atom
# Total magnetization: 0.00 μB per formula unit
# Calculated formation energy: 0.069 eV per atom
# D(E_F): 20.5 states/eV/cell

---

Record 8
# La6Tb5Sc PBE optimized geometry
data_La6Tb5Sc
_chemical_formula_sum 'La12 Tb10 Sc2'
_space_group_name_H-M_alt 'I m m m'
_space_group_IT_number 71
_space_group_name_Hall '-I 2 2'
_cell_length_a 5.2104
_cell_length_b 9.9492
_cell_length_c 15.5967
_cell_angle_alpha 90.00
_cell_angle_beta 90.00
_cell_angle_gamma 90.00
loop_
_atom_site_label
_atom_site_type_symbol
_atom_site_fract_x
_atom_site_fract_y
_atom_site_fract_z
La1 La 0.0000 0.2445 0.0000
La2 La 0.0000 0.2530 0.3348
Tb1 Tb 0.0000 0.0000 0.1664
Tb2 Tb 0.0000 0.0000 0.5000
Tb3 Tb 0.0000 0.5000 0.1656
Sc1 Sc 0.0000 0.5000 0.5000
# Total magnetization: 0.00 μB per formula unit
# Calculated formation energy: 0.030 eV per atom
# D(E_F): 34.2 states/eV/cell

---

Record 9
# LaTbSc2 PBE optimized geometry
data_LaTbSc2
_chemical_formula_sum 'La1 Tb1 Sc2'
_space_group_name_H-M_alt 'P 4/m m m'
_space_group_IT_number 123
_space_group_name_Hall '-P 4 2'
_cell_length_a 3.9171
_cell_length_b 3.9171
_cell_length_c 7.6434
_cell_angle_alpha 90.00
_cell_angle_beta 90.00
_cell_angle_gamma 90.00
loop_
_atom_site_label
_atom_site_type_symbol
_atom_site_fract_x
_atom_site_fract_y
_atom_site_fract_z
La1 La 0.0000 0.0000 0.0000
Tb1 Tb 0.0000 0.0000 0.5000
Sc1 Sc 0.5000 0.5000 0.2605
# ΔE to the lowest computed polymorph: 10 meV per atom
# Total magnetization: 0.00 μB per formula unit
# Calculated formation energy: 0.071 eV per atom
# D(E_F): 5.9 states/eV/cell

---

Record 10
# La2Tb3Sc PBE optimized geometry
data_La2Tb3Sc
_chemical_formula_sum 'La4 Tb6 Sc2'
_space_group_name_H-M_alt 'P n n m'
_space_group_IT_number 58
_space_group_name_Hall '-P 2 2n'
_cell_length_a 7.0127
_cell_length_b 9.7776
_cell_length_c 5.6491
_cell_angle_alpha 90.00
_cell_angle_beta 90.00
_cell_angle_gamma 90.00
loop_
_atom_site_label
_atom_site_type_symbol
_atom_site_fract_x
_atom_site_fract_y
_atom_site_fract_z
La1 La 0.2456 0.1680 0.0000
Tb1 Tb 0.0000 0.5000 0.0000
Tb2 Tb 0.2502 0.3330 0.5000
Sc1 Sc 0.0000 0.0000 0.5000
# ΔE to the lowest computed polymorph: 55 meV per atom
# Total magnetization: 0.00 μB per formula unit
# Calculated formation energy: 0.106 eV per atom
# D(E_F): 24.7 states/eV/cell

---

Record 11
# La4Tb5Sc2 PBE optimized geometry
data_La4Tb5Sc2
_chemical_formula_sum 'La4 Tb5 Sc2'
_space_group_name_H-M_alt 'P -1'
_space_group_IT_number 2
_space_group_name_Hall '-P 1'
_cell_length_a 3.6752
_cell_length_b 9.2757
_cell_length_c 10.9887
_cell_angle_alpha 103.06
_cell_angle_beta 99.57
_cell_angle_gamma 90.04
loop_
_atom_site_label
_atom_site_type_symbol
_atom_site_fract_x
_atom_site_fract_y
_atom_site_fract_z
La1 La 0.0288 0.1958 0.0577
La2 La 0.3272 0.5755 0.6538
Tb1 Tb 0.1186 0.7099 0.2355
Tb2 Tb 0.2474 0.1626 0.4949
Tb3 Tb 0.5000 0.5000 0.0000
Sc1 Sc 0.3827 0.9979 0.7663
# Total magnetization: 0.00 μB per formula unit
# Calculated formation energy: 0.068 eV per atom
# D(E_F): 16.4 states/eV/cell

---

Record 12
# LaTb2Sc2 PBE optimized geometry
data_LaTb2Sc2
_chemical_formula_sum 'La2 Tb4 Sc4'
_space_group_name_H-M_alt 'I 4/m m m'
_space_group_IT_number 139
_space_group_name_Hall '-I 4 2'
_cell_length_a 3.7246
_cell_length_b 3.7246
_cell_length_c 21.8387
_cell_angle_alpha 90.00
_cell_angle_beta 90.00
_cell_angle_gamma 90.00
loop_
_atom_site_label
_atom_site_type_symbol
_atom_site_fract_x
_atom_site_fract_y
_atom_site_fract_z
La1 La 0.0000 0.0000 0.0000
Tb1 Tb 0.0000 0.0000 0.3819
Sc1 Sc 0.0000 0.0000 0.2126
# ΔE to the lowest computed polymorph: 10 meV per atom
# Total magnetization: 0.03 μB per formula unit
# Calculated formation energy: 0.068 eV per atom
# D(E_F): 18.5 states/eV/cell

---

Record 13
# La2Tb9Sc PBE optimized geometry
data_La2Tb9Sc
_chemical_formula_sum 'La2 Tb9 Sc1'
_space_group_name_H-M_alt 'P 4/m m m'
_space_group_IT_number 123
_space_group_name_Hall '-P 4 2'
_cell_length_a 5.0517
_cell_length_b 5.0517
_cell_length_c 15.1355
_cell_angle_alpha 90.00
_cell_angle_beta 90.00
_cell_angle_gamma 90.00
loop_
_atom_site_label
_atom_site_type_symbol
_atom_site_fract_x
_atom_site_fract_y
_atom_site_fract_z
La1 La 0.0000 0.0000 0.1684
Tb1 Tb 0.0000 0.5000 0.0000
Tb2 Tb 0.0000 0.5000 0.3413
Tb3 Tb 0.5000 0.5000 0.1711
Tb4 Tb 0.5000 0.5000 0.5000
Sc1 Sc 0.0000 0.0000 0.5000
# Total magnetization: 0.00 μB per formula unit
# Calculated formation energy: 0.038 eV per atom
# D(E_F): 20.2 states/eV/cell

---

Record 14
# La3Tb4Sc2 PBE optimized geometry
data_La3Tb4Sc2
_chemical_formula_sum 'La6 Tb8 Sc4'
_space_group_name_H-M_alt 'P -1'
_space_group_IT_number 2
_space_group_name_Hall '-P 1'
_cell_length_a 6.3319
_cell_length_b 9.8016
_cell_length_c 9.8079
_cell_angle_alpha 83.87
_cell_angle_beta 78.15
_cell_angle_gamma 78.10
loop_
_atom_site_label
_atom_site_type_symbol
_atom_site_fract_x
_atom_site_fract_y
_atom_site_fract_z
La1 La 0.0023 0.0423 0.1676
La2 La 0.2500 0.4622 0.5378
La3 La 0.4984 0.8322 0.9574
Tb1 Tb 0.0065 0.6902 0.1085
Tb2 Tb 0.0711 0.1569 0.5081
Tb3 Tb 0.4305 0.4921 0.8423
Tb4 Tb 0.4933 0.8908 0.3092
Sc1 Sc 0.0974 0.3609 0.2177
Sc2 Sc 0.4020 0.7831 0.6387
# ΔE to the lowest computed polymorph: 0 meV per atom
# Total magnetization: 0.00 μB per formula unit
# Calculated formation energy: 0.143 eV per atom
# D(E_F): 31.2 states/eV/cell

---

Record 15
# La2TbSc PBE optimized geometry
data_La2TbSc
_chemical_formula_sum 'La4 Tb2 Sc2'
_space_group_name_H-M_alt 'C m m m'
_space_group_IT_number 65
_space_group_name_Hall '-C 2 2'
_cell_length_a 7.3025
_cell_length_b 9.6424
_cell_length_c 3.6762
_cell_angle_alpha 90.00
_cell_angle_beta 90.00
_cell_angle_gamma 90.00
loop_
_atom_site_label
_atom_site_type_symbol
_atom_site_fract_x
_atom_site_fract_y
_atom_site_fract_z
La1 La 0.2500 0.2500 0.0000
Tb1 Tb 0.0000 0.0000 0.5000
Sc1 Sc 0.0000 0.5000 0.5000
# ΔE to the lowest computed polymorph: 11 meV per atom
# Total magnetization: 0.00 μB per formula unit
# Calculated formation energy: 0.053 eV per atom
# D(E_F): 12.5 states/eV/cell

---

Record 16
# LaTb2Sc PBE optimized geometry
data_LaTb2Sc
_chemical_formula_sum 'La2 Tb4 Sc2'
_space_group_name_H-M_alt 'C 1 m 1'
_space_group_IT_number 8
_space_group_name_Hall 'C -2y'
_cell_length_a 11.6356
_cell_length_b 3.5551
_cell_length_c 6.0834
_cell_angle_alpha 90.00
_cell_angle_beta 100.55
_cell_angle_gamma 90.00
loop_
_atom_site_label
_atom_site_type_symbol
_atom_site_fract_x
_atom_site_fract_y
_atom_site_fract_z
La1 La 0.0000 0.0000 0.0000
Tb1 Tb 0.2444 0.0000 0.7456
Tb2 Tb 0.4898 0.0000 0.4910
Sc1 Sc 0.2454 0.5000 0.2479
# ΔE to the lowest computed polymorph: 10 meV per atom
# Total magnetization: 0.00 μB per formula unit
# Calculated formation energy: 0.046 eV per atom
# D(E_F): 10.4 states/eV/cell

---

Record 17
# LaTb6Sc PBE optimized geometry
data_LaTb6Sc
_chemical_formula_sum 'La1 Tb6 Sc1'
_space_group_name_H-M_alt 'P 4/m m m'
_space_group_IT_number 123
_space_group_name_Hall '-P 4 2'
_cell_length_a 5.0323
_cell_length_b 5.0323
_cell_length_c 10.0004
_cell_angle_alpha 90.00
_cell_angle_beta 90.00
_cell_angle_gamma 90.00
loop_
_atom_site_label
_atom_site_type_symbol
_atom_site_fract_x
_atom_site_fract_y
_atom_site_fract_z
La1 La 0.0000 0.0000 0.0000
Tb1 Tb 0.0000 0.5000 0.2596
Tb2 Tb 0.5000 0.5000 0.0000
Tb3 Tb 0.5000 0.5000 0.5000
Sc1 Sc 0.0000 0.0000 0.5000
# ΔE to the lowest computed polymorph: 0 meV per atom
# Total magnetization: 0.00 μB per formula unit
# Calculated formation energy: 0.043 eV per atom
# D(E_F): 13.7 states/eV/cell

---

Record 18
# LaTb3Sc2 PBE optimized geometry
data_LaTb3Sc2
_chemical_formula_sum 'La4 Tb12 Sc8'
_space_group_name_H-M_alt 'C 1 2/m 1'
_space_group_IT_number 12
_space_group_name_Hall '-C 2y'
_cell_length_a 22.8508
_cell_length_b 3.4085
_cell_length_c 9.9600
_cell_angle_alpha 90.00
_cell_angle_beta 107.97
_cell_angle_gamma 90.00
loop_
_atom_site_label
_atom_site_type_symbol
_atom_site_fract_x
_atom_site_fract_y
_atom_site_fract_z
La1 La 0.1828 0.0000 0.0476
Tb1 Tb 0.0604 0.0000 0.4373
Tb2 Tb 0.0661 0.5000 0.7695
Tb3 Tb 0.1967 0.0000 0.7056
Sc1 Sc 0.0693 0.5000 0.1429
Sc2 Sc 0.1914 0.0000 0.3749
# ΔE to the lowest computed polymorph: 0 meV per atom
# Total magnetization: 0.00 μB per formula unit
# Calculated formation energy: 0.155 eV per atom
# D(E_F): 38.9 states/eV/cell

---

Record 19
# La4Tb4Sc PBE optimized geometry
data_La4Tb4Sc
_chemical_formula_sum 'La8 Tb8 Sc2'
_space_group_name_H-M_alt 'I 4/m m m'
_space_group_IT_number 139
_space_group_name_Hall '-I 4 2'
_cell_length_a 10.8113
_cell_length_b 10.8113
_cell_length_c 5.1448
_cell_angle_alpha 90.00
_cell_angle_beta 90.00
_cell_angle_gamma 90.00
loop_
_atom_site_label
_atom_site_type_symbol
_atom_site_fract_x
_atom_site_fract_y
_atom_site_fract_z
La1 La 0.0000 0.3301 0.0000
Tb1 Tb 0.1619 0.1619 0.5000
Sc1 Sc 0.0000 0.0000 0.0000
# Total magnetization: 0.00 μB per formula unit
# Calculated formation energy: 0.046 eV per atom
# D(E_F): 36.1 states/eV/cell

---

Record 20
# LaTb6Sc4 PBE optimized geometry
data_LaTb6Sc4
_chemical_formula_sum 'La1 Tb6 Sc4'
_space_group_name_H-M_alt 'P -6 m 2'
_space_group_IT_number 187
_space_group_name_Hall 'P -6 2'
_cell_length_a 8.7553
_cell_length_b 8.7553
_cell_length_c 5.2671
_cell_angle_alpha 90.00
_cell_angle_beta 90.00
_cell_angle_gamma 120.00
loop_
_atom_site_label
_atom_site_type_symbol
_atom_site_fract_x
_atom_site_fract_y
_atom_site_fract_z
La1 La 0.0000 0.0000 0.0000
Tb1 Tb 0.2007 0.4014 0.5000
Tb2 Tb 0.5332 0.0663 0.0000
Sc1 Sc 0.3333 0.6667 0.0000
Sc2 Sc 0.4282 0.2141 0.5000
# ΔE to the lowest computed polymorph: 180 meV per atom
# Total magnetization: 0.01 μB per formula unit
# Calculated formation energy: 0.292 eV per atom
# D(E_F): 20.1 states/eV/cell